(1)
Here is crystalline ThTlAgPd at its relaxed geometry from Alexandria via LeMat-Bulk. Energies are from PBE.

Cell lengths 5.036, 5.036, 5.036 Å; angles 60.00, 60.00, 60.00 degrees
Atoms (fractional coordinates):
Th (0.000, 0.000, 0.000)
Tl (0.500, 0.500, 0.500)
Ag (0.750, 0.750, 0.750)
Pd (0.250, 0.250, 0.250)

ΔE_f in eV per atom: -0.34



(2)
Here is crystalline TmThAgPd at its relaxed geometry from Alexandria via LeMat-Bulk. Energies are from PBE.

Cell lengths 5.121, 5.121, 5.121 Å; angles 60.00, 60.00, 60.00 degrees
Atoms (fractional coordinates):
Tm (0.000, 0.000, 0.000)
Th (0.500, 0.500, 0.500)
Ag (0.250, 0.250, 0.250)
Pd (0.750, 0.750, 0.750)

ΔE_f in eV per atom: -0.45



(3)
Here is crystalline Th2Zn2AgPd5 at its relaxed geometry from Alexandria via LeMat-Bulk. Energies are from PBE.

Cell lengths 9.926, 9.926, 3.798 Å; angles 90.00, 90.00, 90.00 degrees
Atoms (fractional coordinates):
Th (0.181, 0.319, 0.000)
Th (0.319, 0.819, 0.000)
Th (0.681, 0.181, 0.000)
Th (0.819, 0.681, 0.000)
Zn (0.117, 0.617, 0.000)
Zn (0.383, 0.117, 0.000)
Zn (0.617, 0.883, 0.000)
Zn (0.883, 0.383, 0.000)
Ag (0.000, 0.000, 0.000)
Ag (0.500, 0.500, 0.000)
Pd (0.000, 0.500, 0.500)
Pd (0.065, 0.792, 0.500)
Pd (0.208, 0.065, 0.500)
Pd (0.292, 0.565, 0.500)
Pd (0.435, 0.292, 0.500)
Pd (0.500, 0.000, 0.500)
Pd (0.565, 0.708, 0.500)
Pd (0.708, 0.435, 0.500)
Pd (0.792, 0.935, 0.500)
Pd (0.935, 0.208, 0.500)

ΔE_f in eV per atom: -0.51



(4)
Here is crystalline ThZrAgPd at its relaxed geometry from Alexandria via LeMat-Bulk. Energies are from PBE.

Cell lengths 5.035, 5.035, 5.035 Å; angles 60.00, 60.00, 60.00 degrees
Atoms (fractional coordinates):
Th (0.000, 0.000, 0.000)
Zr (0.500, 0.500, 0.500)
Ag (0.750, 0.750, 0.750)
Pd (0.250, 0.250, 0.250)

ΔE_f in eV per atom: -0.22



(5)
Here is crystalline Ti2AgPd7 at its relaxed geometry from Alexandria via LeMat-Bulk. Energies are from PBE.

Cell lengths 7.582, 7.582, 4.068 Å; angles 90.00, 90.00, 123.96 degrees
Atoms (fractional coordinates):
Ti (0.191, 0.809, 0.000)
Ti (0.809, 0.191, 0.000)
Ag (0.500, 0.500, 0.500)
Pd (0.000, 0.000, 0.000)
Pd (0.195, 0.421, 0.000)
Pd (0.293, 0.707, 0.500)
Pd (0.421, 0.195, 0.000)
Pd (0.579, 0.805, 0.000)
Pd (0.707, 0.293, 0.500)
Pd (0.805, 0.579, 0.000)

ΔE_f in eV per atom: 0.11



(6)
Here is crystalline Ti2AgPd at its relaxed geometry from Alexandria via LeMat-Bulk. Energies are from PBE.

Cell lengths 3.987, 3.987, 4.099 Å; angles 90.00, 90.00, 90.00 degrees
Atoms (fractional coordinates):
Ti (0.000, 0.500, 0.000)
Ti (0.500, 0.000, 0.000)
Ag (0.000, 0.000, 0.500)
Pd (0.500, 0.500, 0.500)

ΔE_f in eV per atom: -0.19



(7)
Here is crystalline Ti4AgPd7 at its relaxed geometry from Alexandria via LeMat-Bulk. Energies are from PBE.

Cell lengths 5.832, 5.832, 9.290 Å; angles 117.23, 117.23, 49.07 degrees
Atoms (fractional coordinates):
Ti (0.086, 0.086, 0.277)
Ti (0.246, 0.246, 0.833)
Ti (0.754, 0.754, 0.167)
Ti (0.914, 0.914, 0.723)
Ag (0.500, 0.500, 0.500)
Pd (0.000, 0.000, 0.500)
Pd (0.140, 0.140, 0.040)
Pd (0.288, 0.288, 0.593)
Pd (0.428, 0.428, 0.156)
Pd (0.572, 0.572, 0.844)
Pd (0.712, 0.712, 0.407)
Pd (0.860, 0.860, 0.960)

ΔE_f in eV per atom: -0.23



(8)
Here is crystalline Ti2Ag2Pd at its relaxed geometry from Alexandria via LeMat-Bulk. Energies are from PBE.

Cell lengths 7.527, 7.527, 3.072 Å; angles 90.00, 90.00, 90.00 degrees
Atoms (fractional coordinates):
Ti (0.171, 0.329, 0.000)
Ti (0.329, 0.829, 0.000)
Ti (0.671, 0.171, 0.000)
Ti (0.829, 0.671, 0.000)
Ag (0.129, 0.629, 0.500)
Ag (0.371, 0.129, 0.500)
Ag (0.629, 0.871, 0.500)
Ag (0.871, 0.371, 0.500)
Pd (0.000, 0.000, 0.500)
Pd (0.500, 0.500, 0.500)

ΔE_f in eV per atom: 0.14



> ΔE_f of number 2 (TmThAgPd)?

-0.45 eV per atom



> Number 5 is which compound?

Ti2AgPd7



> Which value of ΔE_f does entry 3 give?

-0.51 eV per atom